HgSb2Mo: relaxed, PBE.

Cell lengths 5.155, 5.155, 5.630 Å; angles 80.23, 80.23, 37.90 degrees
Positions (direct):
Hg: 0.750 0.750 0.750
Mo: 0.250 0.250 0.250
Sb: 0.970 0.970 0.036
Sb: 0.530 0.530 0.464

Results
* E_tot: -4.438 eV per atom
* excess energy over the best structure of this formula in the dataset: 0.286 eV/atom
* space-group type: C2/m, No. 12
* uncorrected formation energy: 407 meV/atom